A relaxed structure of Er2RuO. Source: Alexandria, functional PBE.

```
Er2RuO
1.0
3.264 0.000 0.000
1.632 2.827 0.000
1.632 0.942 7.883
Ru O Er
1 1 2
Cartesian
0.000 0.000 0.000
3.264 1.884 3.941
4.896 2.827 2.498
1.632 0.942 5.385
```

Computed properties:
DOS at the Fermi energy ... 0.26 states/eV per atom
E above lowest polymorph ... 0.284 eV per atom
Formation energy from raw total energies ... -949.3 meV/atom
Energy ... -6.789 eV/atom



A relaxed structure of LiIn3Ag. Source: Alexandria, functional PBE.

```
LiIn3Ag
1.0
7.606 0.000 0.000
0.000 7.281 -0.052
0.000 -2.223 8.120
In Ag Li
12 4 4
Cartesian
6.014 3.037 0.251
6.742 3.094 6.104
0.864 1.964 1.965
7.044 5.959 1.364
4.366 1.207 5.450
3.240 3.851 2.618
4.668 0.565 2.069
1.592 2.021 7.817
0.563 -0.901 6.704
2.211 -0.508 3.783
2.939 4.492 5.999
5.395 5.566 4.285
5.463 -1.838 7.287
2.144 6.896 0.782
1.660 2.144 4.868
5.947 2.914 3.201
0.561 4.469 3.890
4.364 5.341 0.092
3.242 -0.283 7.976
7.045 0.589 4.178
```

Computed properties:
DOS at the Fermi energy ... 0.36 states/eV per atom
E above lowest polymorph ... 0.042 eV per atom
Energy ... -2.687 eV/atom



A relaxed structure of Pm3SnTe. Source: Alexandria, functional PBE.

```
Pm3SnTe
1.0
5.611 0.000 0.000
0.000 9.273 0.000
0.000 0.000 6.417
Te Pm Sn
2 6 2
Cartesian
2.806 1.668 1.994
2.806 7.605 5.203
2.806 7.827 1.994
2.806 4.637 3.599
2.806 4.636 0.391
0.000 6.483 5.204
0.000 2.791 1.996
2.806 1.446 5.203
0.000 6.072 1.996
0.000 3.201 5.204
```

Computed properties:
DOS at the Fermi energy ... 0.96 states/eV per atom
Formation energy from raw total energies ... -815.7 meV/atom
Energy ... -5.095 eV/atom



A relaxed structure of K2ZrTl. Source: Alexandria, functional PBE.

```
K2ZrTl
1.0
7.720 0.012 0.012
4.075 6.556 -0.012
-4.828 -5.205 3.032
Tl K Zr
1 2 1
Cartesian
5.635 3.138 0.000
0.104 0.058 0.000
3.988 -1.181 1.522
3.138 2.633 1.510
```

Computed properties:
DOS at the Fermi energy ... 1.05 states/eV per atom
E above lowest polymorph ... 0.203 eV per atom
Energy ... -2.741 eV/atom



A relaxed structure of SrTa2Re. Source: Alexandria, functional PBE.

```
SrTa2Re
1.0
-2.028 -2.700 -2.389
-1.189 -1.285 2.461
-6.388 3.848 1.075
Sr Re Ta
1 1 2
Cartesian
-6.697 0.572 1.458
-2.908 -0.709 -0.310
-3.256 0.968 1.670
-0.533 0.313 0.098
```

Computed properties:
DOS at the Fermi energy ... 0.96 states/eV per atom
E above lowest polymorph ... 0.082 eV per atom
Energy ... -8.900 eV/atom



A relaxed structure of MgSc2Re. Source: Alexandria, functional PBE.

```
MgSc2Re
1.0
-4.813 5.477 -1.462
1.468 -3.297 -2.820
-3.451 -0.826 -0.828
Sc Re Mg
2 1 1
Cartesian
-4.132 2.325 -1.145
0.000 0.000 0.000
-1.672 1.090 -2.141
-0.992 -2.061 -1.824
```

Computed properties:
DOS at the Fermi energy ... 1.05 states/eV per atom
Energy ... -6.616 eV/atom



A relaxed structure of PmNiGe2Pd2. Source: Alexandria, functional PBE.

```
PmNiGe2Pd2
1.0
-2.880 -0.965 -2.620
2.603 -2.291 -2.018
-1.752 -4.264 6.568
Pd Ni Ge Pm
2 1 2 1
Cartesian
-2.386 -3.428 0.814
0.356 -4.091 1.115
0.000 0.000 0.000
-0.563 -1.754 1.265
-1.467 -5.766 0.665
-0.139 -1.628 -2.319
```

Computed properties:
DOS at the Fermi energy ... 0.60 states/eV per atom
Energy ... -5.440 eV/atom



A relaxed structure of AlTlInF6. Source: Alexandria, functional PBE.

```
AlTlInF6
1.0
-0.435 2.514 -5.162
-0.567 -3.213 -4.746
-5.687 0.182 0.563
F Tl Al In
6 1 1 1
Cartesian
-4.249 -1.616 -2.728
-2.090 1.344 -3.156
-4.347 0.479 -4.309
-2.021 -0.906 -1.803
-4.080 0.801 -1.716
-2.280 -0.952 -4.417
-6.689 -0.517 -9.342
-3.178 -0.142 -3.022
-3.511 -0.375 -6.320
```

Computed properties:
DOS at the Fermi energy ... 0.33 states/eV per atom
Formation energy from raw total energies ... -2646.1 meV/atom
Energy ... -4.877 eV/atom



A relaxed structure of KTiCo2Sb. Source: Alexandria, functional PBE.

```
KTiCo2Sb
1.0
-1.950 -1.926 3.227
3.797 -4.191 -0.207
2.460 2.093 2.736
Ti K Sb Co
1 1 1 2
Cartesian
2.154 -2.012 2.878
0.000 0.000 0.000
1.898 -2.095 -0.104
1.230 1.047 1.368
-0.975 -0.963 1.613
```

Computed properties:
DOS at the Fermi energy ... 1.08 states/eV per atom
Formation energy from raw total energies ... 2020.0 meV/atom
Energy ... -3.445 eV/atom



A relaxed structure of Th6Ge3SeS2. Source: Alexandria, functional PBE.

```
Th6Ge3SeS2
1.0
4.249 0.000 0.000
0.000 8.343 0.422
-2.125 -2.271 8.824
Th Se Ge S
6 1 3 2
Cartesian
2.125 3.952 9.091
0.000 6.090 6.221
0.000 2.120 0.155
0.000 2.003 6.032
2.125 4.068 3.214
2.125 -0.018 3.025
2.125 0.000 0.000
0.000 6.201 3.258
2.125 -0.129 5.988
2.125 4.171 0.211
2.125 4.046 6.151
0.000 2.026 3.095
```

Computed properties:
DOS at the Fermi energy ... 0.65 states/eV per atom
Formation energy from raw total energies ... -1285.1 meV/atom
Energy ... -7.128 eV/atom



A relaxed structure of Sm6ScCd2. Source: Alexandria, functional PBE.

```
Sm6ScCd2
1.0
3.495 0.000 0.000
1.747 7.966 0.202
1.747 1.713 9.924
Sm Cd Sc
6 2 1
Cartesian
3.495 2.533 4.397
3.495 6.796 9.044
3.495 7.146 5.729
1.747 5.466 2.936
5.242 4.214 7.190
3.495 2.883 1.082
3.495 1.305 7.431
3.495 8.375 2.695
0.000 0.000 0.000
```

Computed properties:
DOS at the Fermi energy ... 1.48 states/eV per atom
E above lowest polymorph ... 0.139 eV per atom
Energy ... -4.027 eV/atom



A relaxed structure of NaSrSe. Source: Alexandria, functional PBE.

```
NaSrSe
1.0
-4.538 3.596 2.072
-0.976 -3.070 3.192
10.270 7.116 9.983
Sr Se Na
4 4 4
Cartesian
2.141 3.173 3.706
6.788 5.196 10.293
-2.032 2.447 4.953
3.590 7.540 8.349
0.336 0.718 4.015
4.420 6.925 11.232
5.959 5.811 7.410
-0.227 4.902 4.645
6.185 9.341 10.874
4.194 3.395 7.768
0.562 4.248 7.478
-0.453 1.372 1.181
```

Computed properties:
DOS at the Fermi energy ... 0.32 states/eV per atom
E above lowest polymorph ... 0.106 eV per atom
Formation energy from raw total energies ... -1170.5 meV/atom
Energy ... -3.332 eV/atom



A relaxed structure of Pr2ThCu. Source: Alexandria, functional PBE.

```
Pr2ThCu
1.0
-0.343 -3.307 1.510
3.237 0.413 1.640
-3.890 3.507 6.796
Th Pr Cu
1 2 1
Cartesian
-0.498 0.306 4.973
-0.817 0.737 1.428
-3.073 2.771 5.368
1.447 -1.447 1.575
```

Computed properties:
DOS at the Fermi energy ... 1.18 states/eV per atom
E above lowest polymorph ... 0.000 eV per atom
Energy ... -5.298 eV/atom



A relaxed structure of CeHo3C. Source: Alexandria, functional PBE.

```
CeHo3C
1.0
5.022 0.000 0.000
0.000 5.022 0.000
0.000 0.000 5.022
Ho Ce C
3 1 1
Cartesian
0.000 0.000 2.511
0.000 2.511 0.000
2.511 0.000 0.000
2.511 2.511 2.511
0.000 0.000 0.000
```

Computed properties:
DOS at the Fermi energy ... 2.41 states/eV per atom
Energy ... -5.710 eV/atom



A relaxed structure of Tl2RhF6. Source: Alexandria, functional PBE.

```
Tl2RhF6
1.0
6.159 0.000 0.000
3.079 5.334 0.000
3.079 1.778 5.029
F Rh Tl
6 1 2
Cartesian
7.856 4.536 1.129
6.159 1.596 1.129
7.856 2.576 3.900
4.462 4.536 1.129
4.462 2.576 3.900
6.159 5.516 3.900
0.000 0.000 0.000
9.238 5.334 3.771
3.079 1.778 1.257
```

Computed properties:
DOS at the Fermi energy ... 1.01 states/eV per atom
Formation energy from raw total energies ... -1733.8 meV/atom
Energy ... -4.324 eV/atom



A relaxed structure of YIr3Pd. Source: Alexandria, functional PBE.

```
YIr3Pd
1.0
-1.733 -4.394 -0.701
0.536 -0.953 4.648
-4.417 1.608 0.839
Ir Y Pd
3 1 1
Cartesian
0.268 -0.476 2.324
-0.867 -2.197 -0.350
-2.209 0.804 0.419
-2.807 -1.869 2.393
0.000 0.000 0.000
```

Computed properties:
DOS at the Fermi energy ... 1.54 states/eV per atom
E above lowest polymorph ... 0.000 eV per atom
Energy ... -6.524 eV/atom



A relaxed structure of MnSi2Ru. Source: Alexandria, functional PBE.

```
MnSi2Ru
1.0
-0.685 -3.979 0.920
1.337 -3.797 -0.971
3.250 -0.702 3.408
Mn Si Ru
1 2 1
Cartesian
2.927 -6.359 2.518
3.215 -0.698 3.372
1.986 -4.243 1.715
0.976 -2.120 0.839
```

Computed properties:
DOS at the Fermi energy ... 0.70 states/eV per atom
Formation energy from raw total energies ... -286.2 meV/atom
Energy ... -7.609 eV/atom



A relaxed structure of CsZn2RhF8. Source: Alexandria, functional PBE.

```
CsZn2RhF8
1.0
5.869 0.000 0.000
2.935 5.083 0.000
2.935 1.694 8.507
F Cs Zn Rh
8 1 2 1
Cartesian
7.237 2.599 3.019
5.869 1.809 5.489
5.869 4.968 3.019
7.237 4.178 5.489
8.804 5.083 8.007
4.502 2.599 3.019
4.502 4.178 5.489
2.935 1.694 0.500
0.000 0.000 0.000
8.804 5.083 6.156
2.935 1.694 2.352
5.869 3.389 4.254
```

Computed properties:
Formation energy from raw total energies ... -2042.3 meV/atom
Energy ... -4.186 eV/atom



A relaxed structure of Ba3Br2O2. Source: Alexandria, functional PBE.

```
Ba3Br2O2
1.0
-1.756 3.338 2.251
-7.142 -4.001 4.649
4.527 -1.988 10.765
Br Ba O
4 6 4
Cartesian
-4.490 -2.318 12.794
0.119 -0.333 4.872
-6.509 -1.247 5.344
2.138 -1.404 12.321
3.519 -1.333 9.006
-3.804 -2.420 9.193
-7.890 -1.319 8.659
-2.880 -2.246 5.370
-0.567 -0.231 8.472
-1.491 -0.405 12.295
-2.886 -0.744 7.423
-1.485 -1.907 10.242
-5.737 -0.568 9.224
1.366 -2.083 8.441
```

Computed properties:
DOS at the Fermi energy ... 0.00 states/eV per atom
E above lowest polymorph ... 0.018 eV per atom
Formation energy from raw total energies ... -2390.8 meV/atom
Energy ... -5.109 eV/atom



A relaxed structure of BeAg2Cl. Source: Alexandria, functional PBE.

```
BeAg2Cl
1.0
-2.148 1.324 1.819
-3.722 0.176 -4.524
-1.427 -3.729 1.029
Cl Ag Be
1 2 1
Cartesian
-2.575 -1.776 -1.747
-2.935 0.750 -1.352
0.000 0.000 0.000
-1.788 -1.202 1.424
```

Computed properties:
DOS at the Fermi energy ... 0.24 states/eV per atom
E above lowest polymorph ... 0.429 eV per atom
Formation energy from raw total energies ... 315.0 meV/atom
Energy ... -2.504 eV/atom